The following is a GGA+U calculation of a relaxed TmCoAsO crystal, from OQMD via LeMat-Bulk.

Results
SG = P4/nmm (129)
E = -40.2 eV per cell
magnetic moment = 6.0 Bohr magnetons per cell

Unit cell a=4.356 b=4.356 c=8.913 alpha=90.00 beta=90.00 gamma=90.00
Sites, in units of the cell vectors:
1 Co 0.250 0.250 0.980
2 As 0.750 0.750 0.312
3 O 0.750 0.250 0.000
4 Tm 0.250 0.750 0.500
5 As 0.250 0.250 0.688
6 Tm 0.750 0.250 0.500
7 Co 0.750 0.750 0.020
8 O 0.250 0.750 0.000